Crystalline CaVF5 at its relaxed geometry, computed with GGA+U.

```
data_CaVF5
_cell_length_a 5.638
_cell_length_b 5.638
_cell_length_c 7.815
_cell_angle_alpha 110.26
_cell_angle_beta 110.26
_cell_angle_gamma 71.33
_space_group_name_H-M_alt 'P 1'
_space_group_IT_number 1
_space_group_name_Hall 'P 1'
loop_
_atom_site_label
_atom_site_type_symbol
_atom_site_fract_x
_atom_site_fract_y
_atom_site_fract_z
Ca1 Ca 0.044 0.956 0.750
Ca2 Ca 0.956 0.044 0.250
V1 V 0.500 0.500 0.000
V2 V 0.500 0.500 0.500
F1 F 0.194 0.786 0.032
F2 F 0.214 0.806 0.468
F3 F 0.251 0.286 0.381
F4 F 0.286 0.251 0.881
F5 F 0.411 0.589 0.750
F6 F 0.589 0.411 0.250
F7 F 0.714 0.749 0.119
F8 F 0.749 0.714 0.619
F9 F 0.786 0.194 0.532
F10 F 0.806 0.214 0.968
```

Calculated values
* DOS at the Fermi energy: 0.000 states/eV/atom
* total DFT energy (no corrections): -6.038 eV per atom
* space-group type: C2/c (15)